--- 1 ---
{"formula": "TaI2NO", "functional": "PBE", "state": "optimized geometry", "magnetic_moment_mub_per_fu": 0.000, "cell": [[4.871, 0.000, 0.000], [0.000, 4.871, 0.000], [0.000, 0.000, 3.676]], "species": ["I", "N", "I", "O", "Ta"], "frac_coords": [[0.500, 0.000, 0.000], [0.000, 0.000, 0.500], [0.000, 0.500, 0.000], [0.000, 0.000, 0.000], [0.500, 0.500, 0.500]]}



--- 2 ---
{"formula": "TaI2NO", "functional": "PBE", "state": "optimized geometry", "magnetic_moment_mub_per_fu": 1.905, "cell": [[-5.333, -0.414, 1.751], [1.227, -4.844, 2.590], [0.914, 1.969, 3.248]], "species": ["O", "I", "Ta", "I", "N"], "frac_coords": [[0.500, 0.500, 0.500], [0.500, 0.000, 0.000], [0.000, 0.000, 0.000], [0.000, 0.500, 0.000], [0.000, 0.000, 0.500]]}



Energy comparison, zero being the most stable, in kJ/mol of atoms: 1 117.6; 2 0.0.



--- 1 ---
{"formula": "TaI2NO", "functional": "PBE", "state": "optimized geometry", "magnetic_moment_mub_per_fu": 1.115, "cell": [[-0.243, -4.335, -2.312], [2.565, 1.862, -3.762], [3.054, -1.014, 1.580]], "species": ["N", "Ta", "O", "I", "I"], "frac_coords": [[0.000, 0.000, 0.000], [0.500, 0.500, 0.500], [0.000, 0.000, 0.500], [0.000, 0.500, 0.000], [0.500, 0.000, 0.000]]}



--- 2 ---
{"formula": "TaI2NO", "functional": "PBE", "state": "optimized geometry", "magnetic_moment_mub_per_fu": 0.012, "cell": [[5.228, 0.000, 0.000], [0.000, 3.950, 0.000], [0.000, 0.000, 5.228]], "species": ["O", "Ta", "I", "I", "N"], "frac_coords": [[0.500, 0.500, 0.500], [0.000, 0.500, 0.000], [0.000, 0.000, 0.500], [0.500, 0.000, 0.000], [0.000, 0.000, 0.000]]}



--- 3 ---
{"formula": "TaI2NO", "functional": "PBE", "state": "optimized geometry", "magnetic_moment_mub_per_fu": 2.752, "cell": [[-4.757, -0.830, -2.939], [2.496, -4.192, -2.855], [-1.214, -2.551, 2.685]], "species": ["I", "Ta", "I", "N", "O"], "frac_coords": [[0.500, 0.000, 0.000], [0.000, 0.000, 0.000], [0.000, 0.500, 0.000], [0.500, 0.500, 0.500], [0.000, 0.000, 0.500]]}



Energy comparison, zero being the most stable, in kJ/mol of atoms: 1 113.1; 2 83.1; 3 0.0.